# 1
The following is a GGA-PBE calculation of an optimized crystal structure of HoBeOs, from Alexandria.

Output
Space group   P-6m2
ΔH_f (0 K)   -0.51 eV per formula unit
Excess energy over the best structure of this formula in the dataset   2.04 kcal/mol of atoms

Lattice parameters (Å, degrees): 3.993 3.993 3.739 90.00 90.00 120.00
Fractional positions:
Ho  0.000  0.000  0.000
Be  0.333  0.667  0.500
Os  0.667  0.333  0.500



# 2
The following is a GGA-PBE calculation of an optimized crystal structure of HoScBeOs, from Alexandria.

Output
Space group   F-43m
ΔH_f (0 K)   -0.64 eV per formula unit

Lattice parameters (Å, degrees): 4.673 4.673 4.673 60.00 60.00 60.00
Fractional positions:
Ho  0.000  0.000  0.000
Sc  0.500  0.500  0.500
Be  0.750  0.750  0.750
Os  0.250  0.250  0.250



# 3
The following is a GGA-PBE calculation of an optimized crystal structure of HoBe2SiOs, from Alexandria.

Output
Space group   Imm2
Formation energy (no corrections)   -0.34 eV/atom

Lattice parameters (Å, degrees): 5.741 5.741 5.741 141.31 141.23 55.93
Fractional positions:
Ho  0.000  0.000  0.000
Be  0.616  0.616  0.000
Be  0.743  0.243  0.500
Si  0.378  0.378  0.000
Os  0.239  0.739  0.500



# 4
The following is a GGA-PBE calculation of an optimized crystal structure of HoBeSi2Os2, from Alexandria.

Output
Space group   P4/mmm
Formation energy (no corrections)   -0.43 eV/atom

Lattice parameters (Å, degrees): 4.232 4.232 5.176 90.00 90.00 90.00
Fractional positions:
Ho  0.000  0.000  0.000
Be  0.000  0.000  0.500
Si  0.500  0.500  0.232
Si  0.500  0.500  0.768
Os  0.000  0.500  0.500
Os  0.500  0.000  0.500



# 5
The following is a GGA-PBE calculation of an optimized crystal structure of HoBeSiOs, from Alexandria.

Output
Space group   R3m
Formation energy (no corrections)   -0.49 eV/atom

Lattice parameters (Å, degrees): 5.354 5.354 5.354 43.81 43.81 43.81
Fractional positions:
Ho  0.000  0.000  0.000
Be  0.796  0.796  0.796
Si  0.203  0.203  0.203
Os  0.493  0.493  0.493



# 6
The following is a GGA-PBE calculation of an optimized crystal structure of HoTmBeOs, from Alexandria.

Output
Space group   F-43m
ΔH_f (0 K)   -0.48 eV per formula unit

Lattice parameters (Å, degrees): 4.782 4.782 4.782 60.00 60.00 60.00
Fractional positions:
Ho  0.000  0.000  0.000
Tm  0.500  0.500  0.500
Be  0.250  0.250  0.250
Os  0.750  0.750  0.750



# 7
The following is a GGA-PBE calculation of an optimized crystal structure of HoZrBeOs, from Alexandria.

Output
Space group   F-43m
ΔH_f (0 K)   -0.60 eV per formula unit

Lattice parameters (Å, degrees): 4.704 4.704 4.704 60.00 60.00 60.00
Fractional positions:
Ho  0.000  0.000  0.000
Zr  0.500  0.500  0.500
Be  0.250  0.250  0.250
Os  0.750  0.750  0.750



# 8
The following is a GGA-PBE calculation of an optimized crystal structure of Ho2BeP, from Alexandria.

Output
Space group   R-3m
ΔH_f (0 K)   0.09 eV per formula unit

Lattice parameters (Å, degrees): 9.270 9.270 9.270 23.55 23.55 23.55
Fractional positions:
Ho  0.108  0.108  0.108
Ho  0.892  0.892  0.892
Be  0.000  0.000  0.000
P  0.500  0.500  0.500



Quick rundown of magnetic moment, same order as above: 0.000; 0.000; 0.000; 0.000; 0.000; 0.000; 0.000; 0.041 μB per atom
Quick rundown of calculated volume, same order as above: 17.21; 18.04; 14.70; 15.45; 16.69; 19.33; 18.40; 27.91 A^3/atom